Entry 1:
## PmPtBr6 (PBE-GGA)

Data for a relaxed structure of PmPtBr6.

Unit cell a=6.7011 b=6.7508 c=7.2612 alpha=62.42 beta=89.70 gamma=63.30
Space group P-1 (No. 2)
Asymmetric unit:
Pm  0.0000  0.0000  0.0000 (multiplicity 1)
Pt  0.5000  0.0000  0.5000 (multiplicity 1)
Br  0.0978  0.4815  0.2541 (multiplicity 2)
Br  0.2792  0.8193  0.7380 (multiplicity 2)
Br  0.4352  0.8411  0.2674 (multiplicity 2)

Calculated values
ρ = 5.41 Mg/m³
Formation energy without anion corrections = -0.906 eV per atom
Crystal system = triclinic

Entry 2:
## Sm5Dy2Tm4 (PBE-GGA)

Data for a relaxed structure of Sm5Dy2Tm4.

Unit cell a=14.3264 b=6.5644 c=8.4968 alpha=90.00 beta=114.45 gamma=90.00
Space group C2/m (No. 12)
Asymmetric unit:
Sm  0.0000  0.0000  0.0000 (multiplicity 2)
Sm  0.0942  0.2599  0.3856 (multiplicity 8)
Dy  0.1457  0.0000  0.7655 (multiplicity 4)
Tm  0.1072  0.5000  0.9954 (multiplicity 4)
Tm  0.2457  0.5000  0.7772 (multiplicity 4)

Calculated values
Formation energy from the elements = 0.229 eV/atom
ρ = 8.00 Mg/m³
Crystal system = monoclinic

Entry 3:
## In2CuAu7 (PBE-GGA)

Data for a relaxed structure of In2CuAu7.

Unit cell a=10.0770 b=10.0770 c=10.0770 alpha=90.00 beta=90.00 gamma=90.00
Space group Fm-3m (No. 225)
Asymmetric unit:
In  0.2500  0.2500  0.2500 (multiplicity 8)
Cu  0.0000  0.0000  0.0000 (multiplicity 4)
Au  0.0000  0.0000  0.2399 (multiplicity 24)
Au  0.0000  0.0000  0.5000 (multiplicity 4)

Calculated values
Formation energy from the elements = 0.382 eV/atom
ρ = 10.85 Mg/m³
Crystal system = cubic

Entry 4:
## Dy7Y2Th (PBE-GGA)

Data for a relaxed structure of Dy7Y2Th.

Unit cell a=3.5744 b=11.6288 c=16.6419 alpha=90.00 beta=90.00 gamma=90.00
Space group Immm (No. 71)
Asymmetric unit:
Dy  0.0000  0.0000  0.0000 (multiplicity 2)
Dy  0.0000  0.2490  0.1523 (multiplicity 8)
Dy  0.0000  0.5000  0.3313 (multiplicity 4)
Y  0.0000  0.0000  0.3322 (multiplicity 4)
Th  0.0000  0.5000  0.0000 (multiplicity 2)

Calculated values
Formation energy from the elements = 0.341 eV/atom
ρ = 7.43 Mg/m³
Crystal system = orthorhombic

Entry 5:
## Ca4Sn2Bi5 (PBE-GGA)

Data for a relaxed structure of Ca4Sn2Bi5.

Unit cell a=8.1167 b=20.4059 c=4.1728 alpha=90.00 beta=90.00 gamma=90.00
Space group Pbam (No. 55)
Asymmetric unit:
Ca  0.0955  0.1385  0.0000 (multiplicity 4)
Ca  0.1926  0.4457  0.0000 (multiplicity 4)
Sn  0.0276  0.7041  0.0000 (multiplicity 4)
Bi  0.0000  0.0000  0.5000 (multiplicity 2)
Bi  0.1290  0.5823  0.5000 (multiplicity 4)
Bi  0.2292  0.8042  0.5000 (multiplicity 4)

Calculated values
Formation energy from the elements = -0.457 eV/atom
ρ = 6.93 Mg/m³
Crystal system = orthorhombic

Entry 6:
## CuRuSe2 (PBE-GGA)

Data for a relaxed structure of CuRuSe2.

Unit cell a=4.7934 b=4.7680 c=6.4072 alpha=90.00 beta=90.00 gamma=90.00
Space group Amm2 (No. 38)
Asymmetric unit:
Cu  0.0000  0.0000  0.0000 (multiplicity 2)
Ru  0.5000  0.0000  0.2356 (multiplicity 2)
Se  0.0000  0.0000  0.3764 (multiplicity 2)
Se  0.5000  0.0000  0.8583 (multiplicity 2)

Calculated values
ρ = 7.31 Mg/m³
Formation energy without anion corrections = 0.009 eV per atom
Crystal system = orthorhombic

Entry 7:
## Li3VS (PBE-GGA)

Data for a relaxed structure of Li3VS.

Unit cell a=4.6261 b=4.6261 c=4.6261 alpha=90.00 beta=90.00 gamma=90.00
Space group Pm-3m (No. 221)
Asymmetric unit:
Li  0.0000  0.0000  0.5000 (multiplicity 3)
V  0.5000  0.5000  0.5000 (multiplicity 1)
S  0.0000  0.0000  0.0000 (multiplicity 1)

Calculated values
ρ = 1.74 Mg/m³
Formation energy without anion corrections = 0.023 eV per atom
Crystal system = cubic

Entry 8:
## TaAl2W (PBE-GGA)

Data for a relaxed structure of TaAl2W.

Unit cell a=2.7768 b=4.1648 c=5.5707 alpha=90.00 beta=90.00 gamma=90.00
Space group Pmmm (No. 47)
Asymmetric unit:
Ta  0.0000  0.0000  0.0000 (multiplicity 1)
Al  0.5000  0.5000  0.2575 (multiplicity 2)
W  0.0000  0.0000  0.5000 (multiplicity 1)

Calculated values
Formation energy from the elements = -0.082 eV/atom
ρ = 10.79 Mg/m³
Crystal system = orthorhombic

Entry 9:
## Li2CaTa (PBE-GGA)

Data for a relaxed structure of Li2CaTa.

Unit cell a=2.8695 b=4.4729 c=6.5778 alpha=90.00 beta=90.00 gamma=90.00
Space group Pmm2 (No. 25)
Asymmetric unit:
Li  0.0000  0.0000  0.0000 (multiplicity 1)
Li  0.5000  0.5000  0.2255 (multiplicity 1)
Ca  0.5000  0.5000  0.7167 (multiplicity 1)
Ta  0.0000  0.0000  0.4241 (multiplicity 1)

Calculated values
Formation energy from the elements = 0.609 eV/atom
ρ = 4.62 Mg/m³
Crystal system = orthorhombic

Entry 10:
## ScTaTcNi (PBE-GGA)

Data for a relaxed structure of ScTaTcNi.

Unit cell a=6.3326 b=6.3326 c=6.3326 alpha=90.00 beta=90.00 gamma=90.00
Space group F-43m (No. 216)
Asymmetric unit:
Sc  0.0000  0.0000  0.0000 (multiplicity 4)
Ta  0.0000  0.0000  0.5000 (multiplicity 4)
Tc  0.2500  0.2500  0.2500 (multiplicity 4)
Ni  0.2500  0.2500  0.7500 (multiplicity 4)

Calculated values
Formation energy from the elements = -0.322 eV/atom
ρ = 10.01 Mg/m³
Crystal system = cubic

Entry 11:
## K2HgF (PBE-GGA)

Data for a relaxed structure of K2HgF.

Unit cell a=7.9873 b=7.9873 c=7.9873 alpha=90.00 beta=90.00 gamma=90.00
Space group Fm-3m (No. 225)
Asymmetric unit:
K  0.2500  0.2500  0.2500 (multiplicity 8)
Hg  0.0000  0.0000  0.0000 (multiplicity 4)
F  0.0000  0.0000  0.5000 (multiplicity 4)

Calculated values
ρ = 3.88 Mg/m³
Formation energy without anion corrections = -1.005 eV per atom
Crystal system = cubic

Entry 12:
## Mg3TaPd12 (PBE-GGA)

Data for a relaxed structure of Mg3TaPd12.

Unit cell a=3.9751 b=3.9751 c=15.8221 alpha=90.00 beta=90.00 gamma=90.00
Space group P4/mmm (No. 123)
Asymmetric unit:
Mg  0.0000  0.0000  0.0000 (multiplicity 1)
Mg  0.0000  0.0000  0.2487 (multiplicity 2)
Ta  0.0000  0.0000  0.5000 (multiplicity 1)
Pd  0.0000  0.5000  0.1249 (multiplicity 4)
Pd  0.0000  0.5000  0.3789 (multiplicity 4)
Pd  0.5000  0.5000  0.0000 (multiplicity 1)
Pd  0.5000  0.5000  0.2515 (multiplicity 2)
Pd  0.5000  0.5000  0.5000 (multiplicity 1)

Calculated values
Formation energy from the elements = -0.503 eV/atom
ρ = 10.17 Mg/m³
Crystal system = tetragonal

| no. | energy (eV/atom) | spin magnetization (μB per atom) |
| --- | --- | --- |
| 1 | -3.509 | 0.120 |
| 2 | -4.379 | 0.000 |
| 3 | -2.869 | 0.000 |
| 4 | -4.915 | 0.000 |
| 5 | -3.677 | 0.000 |
| 6 | -5.076 | 0.000 |
| 7 | -3.775 | 0.857 |
| 8 | -8.155 | 0.000 |
| 9 | -3.812 | 0.000 |
| 10 | -8.905 | 0.000 |
| 11 | -2.097 | 0.197 |
| 12 | -5.437 | 0.000 |